Record 1
# MnMoPt

A relaxed structure of MnMoPt (PBE-GGA, the Alexandria database).

Summary:
Crystal system: cubic
ρ: 11538 kg/m3
E_form: 0.3150 eV/atom
Total energy: -8.366 eV/atom
Spin magnetization: 0.9 μB/f.u.

Cell: 5.840 5.840 5.840 Å, 90.00 90.00 90.00°
Space group F-43m (No. 216)
Unique sites:
1 Mn 0.000 0.000 0.000 (multiplicity 4)
2 Mo 0.250 0.250 0.750 (multiplicity 4)
3 Pt 0.250 0.250 0.250 (multiplicity 4)

=====

Record 2
# ZnTc3N

A relaxed structure of ZnTc3N (PBE-GGA, the Alexandria database).

Summary:
Crystal system: orthorhombic
Formation energy (no corrections): 0.071 eV per atom
ρ: 9539 kg/m3
Total energy: -8.068 eV/atom
Spin magnetization: 0.0 μB/f.u.

Cell: 5.799 5.476 4.094 Å, 90.00 90.00 90.00°
Space group Pmma (No. 51)
Unique sites:
1 Zn 0.250 0.000 0.002 (multiplicity 2)
2 Tc 0.000 0.232 0.500 (multiplicity 4)
3 Tc 0.250 0.500 0.001 (multiplicity 2)
4 N 0.250 0.500 0.514 (multiplicity 2)

=====

Record 3
# BeAsNO2

A relaxed structure of BeAsNO2 (PBE-GGA, the Alexandria database).

Summary:
Crystal system: tetragonal
Formation energy (no corrections): 0.018 eV per atom
ρ: 4621 kg/m3
Total energy: -5.306 eV/atom
Spin magnetization: 1.4 μB/f.u.

Cell: 3.263 3.263 4.385 Å, 90.00 90.00 90.00°
Space group P4/mmm (No. 123)
Unique sites:
1 Be 0.000 0.000 0.000 (multiplicity 1)
2 As 0.500 0.500 0.500 (multiplicity 1)
3 N 0.000 0.000 0.500 (multiplicity 1)
4 O 0.000 0.500 0.000 (multiplicity 2)

=====

Record 4
# WBr3

A relaxed structure of WBr3 (PBE-GGA, the Alexandria database).

Summary:
Crystal system: cubic
Formation energy (no corrections): 1.057 eV per atom
ρ: 7896 kg/m3
Total energy: -3.435 eV/atom
Spin magnetization: 3.0 μB/f.u.

Cell: 7.089 7.089 7.089 Å, 90.00 90.00 90.00°
Space group Fm-3m (No. 225)
Unique sites:
1 W 0.000 0.000 0.000 (multiplicity 4)
2 Br 0.000 0.000 0.500 (multiplicity 4)
3 Br 0.250 0.250 0.250 (multiplicity 8)

=====

Record 5
# Ca2Mg2Zn

A relaxed structure of Ca2Mg2Zn (PBE-GGA, the Alexandria database).

Summary:
Crystal system: monoclinic
ρ: 2226 kg/m3
E_form: -0.0075 eV/atom
Total energy: -1.701 eV/atom
Spin magnetization: 0.0 μB/f.u.

Cell: 12.559 3.678 6.930 Å, 90.00 115.22 90.00°
Space group C2/m (No. 12)
Unique sites:
1 Ca 0.124 0.000 0.279 (multiplicity 4)
2 Mg 0.162 0.000 0.803 (multiplicity 4)
3 Zn 0.000 0.500 0.500 (multiplicity 2)

=====

Record 6
# Ac3NdAg4

A relaxed structure of Ac3NdAg4 (PBE-GGA, the Alexandria database).

Summary:
Crystal system: tetragonal
ρ: 8726 kg/m3
E_form: -0.2568 eV/atom
Total energy: -3.819 eV/atom
Spin magnetization: 0.0 μB/f.u.

Cell: 3.916 3.916 15.599 Å, 90.00 90.00 90.00°
Space group P4/mmm (No. 123)
Unique sites:
1 Ac 0.000 0.000 0.000 (multiplicity 1)
2 Ac 0.000 0.000 0.256 (multiplicity 2)
3 Nd 0.000 0.000 0.500 (multiplicity 1)
4 Ag 0.500 0.500 0.128 (multiplicity 2)
5 Ag 0.500 0.500 0.391 (multiplicity 2)

=====

Record 7
# TlCdS2Cl

A relaxed structure of TlCdS2Cl (PBE-GGA, the Alexandria database).

Summary:
Crystal system: tetragonal
Formation energy (no corrections): -0.064 eV per atom
ρ: 4902 kg/m3
Total energy: -2.740 eV/atom
Spin magnetization: 1.3 μB/f.u.

Cell: 5.030 5.030 5.575 Å, 90.00 90.00 90.00°
Space group P4/mmm (No. 123)
Unique sites:
1 Tl 0.000 0.000 0.000 (multiplicity 1)
2 Cd 0.500 0.500 0.500 (multiplicity 1)
3 S 0.000 0.500 0.500 (multiplicity 2)
4 Cl 0.500 0.500 0.000 (multiplicity 1)

=====

Record 8
# Mg2CrPW

A relaxed structure of Mg2CrPW (PBE-GGA, the Alexandria database).

Summary:
Crystal system: tetragonal
ρ: 4862 kg/m3
E_form: 1.2974 eV/atom
Total energy: -4.938 eV/atom
Spin magnetization: 0.8 μB/f.u.

Cell: 4.965 4.965 4.370 Å, 90.00 90.00 90.00°
Space group P4/mmm (No. 123)
Unique sites:
1 Mg 0.000 0.500 0.000 (multiplicity 2)
2 Cr 0.000 0.000 0.000 (multiplicity 1)
3 P 0.500 0.500 0.500 (multiplicity 1)
4 W 0.000 0.000 0.500 (multiplicity 1)

=====

Record 9
# LaMnIn

A relaxed structure of LaMnIn (PBE-GGA, the Alexandria database).

Summary:
Crystal system: trigonal
ρ: 6730 kg/m3
E_form: 0.2867 eV/atom
Total energy: -5.325 eV/atom
Spin magnetization: 3.5 μB/f.u.

Cell: 3.4208 3.4208 7.5151 Å, 90.00 90.00 120.00°
Space group P3m1 (No. 156)
Unique sites:
1 La 0.0000 0.0000 0.0000 (multiplicity 1)
2 Mn 0.6667 0.3333 0.3351 (multiplicity 1)
3 In 0.3333 0.6667 0.6169 (multiplicity 1)

=====

Record 10
# RbPI3

A relaxed structure of RbPI3 (PBE-GGA, the Alexandria database).

Summary:
Crystal system: triclinic
Formation energy (no corrections): -0.604 eV per atom
ρ: 3274 kg/m3
Total energy: -2.809 eV/atom
Spin magnetization: 0.0 μB/f.u.

Cell: 6.609 7.782 10.755 Å, 70.79 75.07 87.39°
Space group P-1 (No. 2)
Unique sites:
1 Rb 0.230 0.217 0.062 (multiplicity 2)
2 P 0.353 0.027 0.568 (multiplicity 2)
3 I 0.205 0.692 0.098 (multiplicity 2)
4 I 0.266 0.302 0.392 (multiplicity 2)
5 I 0.462 0.831 0.310 (multiplicity 2)

=====

Record 11
# Tc7Ag

A relaxed structure of Tc7Ag (PBE-GGA, the Alexandria database).

Summary:
Crystal system: cubic
ρ: 11113 kg/m3
E_form: 0.2970 eV/atom
Total energy: -9.130 eV/atom
Spin magnetization: 0.0 μB/f.u.

Cell: 7.800 7.800 7.800 Å, 90.00 90.00 90.00°
Space group Fm-3m (No. 225)
Unique sites:
1 Tc 0.000 0.000 0.000 (multiplicity 4)
2 Tc 0.000 0.250 0.250 (multiplicity 24)
3 Ag 0.000 0.000 0.500 (multiplicity 4)

=====

Record 12
# Ce4TeRu2

A relaxed structure of Ce4TeRu2 (PBE-GGA, the Alexandria database).

Summary:
Crystal system: orthorhombic
Formation energy (no corrections): -0.529 eV per atom
ρ: 8391 kg/m3
Total energy: -7.019 eV/atom
Spin magnetization: 1.2 μB/f.u.

Cell: 13.000 13.029 8.321 Å, 90.00 90.00 90.00°
Space group Fdd2 (No. 43)
Unique sites:
1 Ce 0.051 0.128 0.000 (multiplicity 16)
2 Ce 0.122 0.198 0.582 (multiplicity 16)
3 Te 0.000 0.000 0.666 (multiplicity 8)
4 Ru 0.059 0.191 0.290 (multiplicity 16)

=====

Record 13
# NaLa3Ir

A relaxed structure of NaLa3Ir (PBE-GGA, the Alexandria database).

Summary:
Crystal system: monoclinic
ρ: 5844 kg/m3
E_form: -0.2841 eV/atom
Total energy: -5.277 eV/atom
Spin magnetization: 0.0 μB/f.u.

Cell: 13.142 5.919 10.099 Å, 90.00 113.90 90.00°
Space group C2/m (No. 12)
Unique sites:
1 Na 0.100 0.000 0.434 (multiplicity 4)
2 La 0.109 0.500 0.204 (multiplicity 4)
3 La 0.135 0.000 0.935 (multiplicity 4)
4 La 0.145 0.500 0.666 (multiplicity 4)
5 Ir 0.124 0.500 0.925 (multiplicity 4)

=====

Record 14
# CeErCd2Hg4

A relaxed structure of CeErCd2Hg4 (PBE-GGA, the Alexandria database).

Summary:
Crystal system: trigonal
ρ: 11572 kg/m3
E_form: -0.3446 eV/atom
Total energy: -2.036 eV/atom
Spin magnetization: 0.9 μB/f.u.

Cell: 5.1243 5.1243 25.2635 Å, 90.00 90.00 120.00°
Space group R-3m (No. 166, hexagonal axes)
Unique sites:
1 Ce 0.0000 0.0000 0.0000 (multiplicity 3)
2 Er 0.0000 0.0000 0.5000 (multiplicity 3)
3 Cd 0.0000 0.0000 0.2510 (multiplicity 6)
4 Hg 0.0000 0.0000 0.1281 (multiplicity 6)
5 Hg 0.0000 0.0000 0.3785 (multiplicity 6)

=====

Record 15
# CsCaTlSiSe

A relaxed structure of CsCaTlSiSe (PBE-GGA, the Alexandria database).

Summary:
Crystal system: trigonal
Formation energy (no corrections): -0.627 eV per atom
ρ: 4658 kg/m3
Total energy: -3.453 eV/atom
Spin magnetization: 0.0 μB/f.u.

Cell: 4.6498 4.6498 27.6706 Å, 90.00 90.00 120.00°
Space group R3m (No. 160, hexagonal axes)
Unique sites:
1 Cs 0.0000 0.0000 0.0000 (multiplicity 3)
2 Ca 0.0000 0.0000 0.4698 (multiplicity 3)
3 Tl 0.0000 0.0000 0.2285 (multiplicity 3)
4 Si 0.0000 0.0000 0.8534 (multiplicity 3)
5 Se 0.0000 0.0000 0.7576 (multiplicity 3)

=====

Record 16
# La2TaMo

A relaxed structure of La2TaMo (PBE-GGA, the Alexandria database).

Summary:
Crystal system: orthorhombic
ρ: 8984 kg/m3
E_form: 0.3550 eV/atom
Total energy: -7.780 eV/atom
Spin magnetization: 0.0 μB/f.u.

Cell: 3.606 5.365 10.598 Å, 90.00 90.00 90.00°
Space group Imm2 (No. 44)
Unique sites:
1 La 0.000 0.000 0.000 (multiplicity 2)
2 La 0.000 0.500 0.234 (multiplicity 2)
3 Ta 0.000 0.000 0.443 (multiplicity 2)
4 Mo 0.000 0.500 0.773 (multiplicity 2)

=====

Record 17
# YMnBe

A relaxed structure of YMnBe (PBE-GGA, the Alexandria database).

Summary:
Crystal system: cubic
ρ: 3760 kg/m3
E_form: 1.0984 eV/atom
Total energy: -5.355 eV/atom
Spin magnetization: 3.6 μB/f.u.

Cell: 6.464 6.464 6.464 Å, 90.00 90.00 90.00°
Space group F-43m (No. 216)
Unique sites:
1 Y 0.000 0.000 0.000 (multiplicity 4)
2 Mn 0.250 0.250 0.750 (multiplicity 4)
3 Be 0.250 0.250 0.250 (multiplicity 4)

=====

Record 18
# BeOs2

A relaxed structure of BeOs2 (PBE-GGA, the Alexandria database).

Summary:
Crystal system: hexagonal
ρ: 14134 kg/m3
E_form: 0.7565 eV/atom
Total energy: -7.972 eV/atom
Spin magnetization: 0.0 μB/f.u.

Cell: 5.0662 5.0662 8.2340 Å, 90.00 90.00 120.00°
Space group P6_3/mmc (No. 194)
Unique sites:
1 Be 0.3333 0.6667 0.1048 (multiplicity 4)
2 Os 0.0000 0.0000 0.0000 (multiplicity 2)
3 Os 0.1746 0.3493 0.7500 (multiplicity 6)

=====

Record 19
# NaSn2BiS4

A relaxed structure of NaSn2BiS4 (PBE-GGA, the Alexandria database).

Summary:
Crystal system: orthorhombic
Formation energy (no corrections): -0.565 eV per atom
ρ: 4989 kg/m3
Total energy: -4.279 eV/atom
Spin magnetization: 0.0 μB/f.u.

Cell: 8.194 11.731 8.277 Å, 90.00 90.00 90.00°
Space group Fmm2 (No. 42)
Unique sites:
1 Na 0.000 0.000 0.000 (multiplicity 4)
2 Sn 0.250 0.250 0.252 (multiplicity 8)
3 Bi 0.000 0.000 0.520 (multiplicity 4)
4 S 0.000 0.241 0.484 (multiplicity 8)
5 S 0.240 0.000 0.739 (multiplicity 8)

=====

Record 20
# RbSeBr3

A relaxed structure of RbSeBr3 (PBE-GGA, the Alexandria database).

Summary:
Crystal system: triclinic
Formation energy (no corrections): -0.733 eV per atom
ρ: 3200 kg/m3
Total energy: -2.627 eV/atom
Spin magnetization: 0.0 μB/f.u.

Cell: 6.583 7.928 8.657 Å, 85.09 70.17 80.88°
Space group P1 (No. 1)
Unique sites:
1 Rb 0.000 0.000 0.000 (multiplicity 1)
2 Rb 0.380 0.417 0.332 (multiplicity 1)
3 Se 0.602 0.797 0.676 (multiplicity 1)
4 Se 0.648 0.067 0.708 (multiplicity 1)
5 Br 0.276 0.816 0.598 (multiplicity 1)
6 Br 0.462 0.088 0.046 (multiplicity 1)
7 Br 0.845 0.164 0.405 (multiplicity 1)
8 Br 0.902 0.645 0.264 (multiplicity 1)
9 Br 0.928 0.508 0.994 (multiplicity 1)
10 Br 0.946 0.378 0.725 (multiplicity 1)